A plane-wave DFT calculation with PBE-GGA was carried out for a geometry-optimized FeSiSb2 structure.

Cell lengths 9.7135, 9.7135, 9.7135 Å; angles 18.81, 18.81, 18.81 degrees
Last column: nearest neighbours and their distance in Å.
Positions (direct):
Fe 0.7610 0.7610 0.7610  3 Si 2.42, 3 Sb 2.67
Sb 0.0265 0.0265 0.0265  3 Fe 2.67
Sb 0.2298 0.2298 0.2298  3 Si 2.94, 6 Sb 3.17
Si 0.4828 0.4828 0.4828  3 Fe 2.42

Results
Density of states at the Fermi level = 3.70 states/eV per cell
Space group = No. 160

A plane-wave DFT calculation with PBE-GGA was carried out for a geometry-optimized FeSiSb structure.

Cell lengths 3.2329, 3.2329, 5.6165 Å; angles 90.00, 90.00, 120.00 degrees
Last column: nearest neighbours and their distance in Å.
Positions (direct):
Fe 0.0000 0.0000 0.9739  3 Si 2.34
Sb 0.6667 0.3333 0.3036  3 Fe 2.63
Si 0.3333 0.6667 0.7225  3 Fe 2.34

Results
Density of states at the Fermi level = 1.21 states/eV per cell
Space group = No. 156

A plane-wave DFT calculation with PBE-GGA was carried out for a geometry-optimized FeSiSb structure.

Cell lengths 2.9640, 3.6521, 10.1837 Å; angles 90.00, 98.31, 90.00 degrees
Last column: nearest neighbours and their distance in Å.
Positions (direct):
Sb 0.1609 0.2500 0.3246  2 Fe 2.70, 2 Sb 2.96, 2 Si 2.97
Sb 0.8391 0.7500 0.6754  2 Fe 2.70, 2 Sb 2.96, 2 Si 2.97
Si 0.9544 0.2500 0.9082  6 Fe 2.35-2.44, 2 Si 2.60
Si 0.0456 0.7500 0.0918  6 Fe 2.35-2.44, 2 Si 2.60
Fe 0.5500 0.2500 0.1008  6 Si 2.35-2.44
Fe 0.4500 0.7500 0.8992  6 Si 2.35-2.44

Results
Density of states at the Fermi level = 2.92 states/eV per cell
Space group = No. 11

Number 1: uncorrected energy -0.389 Ry per atom, E_form (uncorrected) 0.236 eV/atom. Number 2: uncorrected energy -0.428 Ry per atom, E_form (uncorrected) 0.181 eV/atom. Number 3: uncorrected energy -0.448 Ry per atom, E_form (uncorrected) -0.098 eV/atom.